Below is Cs2CdI2Cl2 after structural relaxation, with properties calculated at the PBE-GGA level.

The space group is I4/mmm (No. 139) and the conventional cell measures 5.564, 5.564 and 18.557 Å, with angles of 90.00, 90.00 and 90.00 degrees. The inequivalent atoms are Cs at (0.000, 0.000, 0.127), Cd at (0.000, 0.000, 0.500), I at (0.000, 0.000, 0.343) and Cl at (0.000, 0.500, 0.000).

Its calculated total energy is -38.44 eV/cell. As for the density of states at the Fermi level: 0.000 states/eV/f.u.

***

Below is CsCdI2Cl after structural relaxation, with properties calculated at the PBE-GGA level.

The space group is P2_1/m (No. 11) and the conventional cell measures 9.017, 4.836 and 11.334 Å, with angles of 90.00, 106.06 and 90.00 degrees. The inequivalent atoms are Cs at (0.175, 0.250, 0.287), Cd at (0.354, 0.250, 0.752), I at (0.335, 0.750, 0.592), I at (0.353, 0.750, 0.095) and Cl at (0.099, 0.250, 0.790).

For the polymorph energy (0 for the lowest one), the calculation gives 0.000 eV per atom. Its calculated total energy is -24.68 eV/cell. As for the density of states at the Fermi level: 0.000 states/eV/f.u.

***

Below is CsCdInCl6 after structural relaxation, with properties calculated at the PBE-GGA level.

The space group is P312 (No. 149) and the conventional cell measures 6.8363, 6.8363 and 7.7741 Å, with angles of 90.00, 90.00 and 120.00 degrees. The inequivalent atoms are Cs at (0.0000, 0.0000, 0.0000), Cd at (0.3333, 0.6667, 0.5000), In at (0.6667, 0.3333, 0.5000) and Cl at (0.3816, 0.0119, 0.6919).

Its calculated total energy is -27.65 eV/cell. As for the density of states at the Fermi level: 0.000 states/eV/f.u.

***

Below is Cs3Cd2InCl9 after structural relaxation, with properties calculated at the PBE-GGA level.

The space group is P-3m1 (No. 164) and the conventional cell measures 7.5973, 7.5973 and 9.3110 Å, with angles of 90.00, 90.00 and 120.00 degrees. The inequivalent atoms are Cs at (0.0000, 0.0000, 0.0000), Cs at (0.3333, 0.6667, 0.6699), Cd at (0.3333, 0.6667, 0.1637), In at (0.0000, 0.0000, 0.5000), Cl at (0.0000, 0.5000, 0.0000) and Cl at (0.1678, 0.3357, 0.3342).

Its calculated total energy is -45.54 eV/cell. As for the density of states at the Fermi level: 1.747 states/eV/f.u.

***

Below is CsCd2InCl6 after structural relaxation, with properties calculated at the PBE-GGA level.

The space group is C2/c (No. 15) and the conventional cell measures 14.619, 14.476 and 7.294 Å, with angles of 90.00, 96.77 and 90.00 degrees. The inequivalent atoms are Cs at (0.000, 0.103, 0.250), Cd at (0.214, 0.414, 0.274), In at (0.000, 0.298, 0.750), Cl at (0.117, 0.108, 0.697), Cl at (0.121, 0.288, 0.124) and Cl at (0.171, 0.434, 0.605).

Its calculated total energy is -114.14 eV/cell. As for the density of states at the Fermi level: 0.000 states/eV/f.u.

***

Below is CsCd2InCl after structural relaxation, with properties calculated at the PBE-GGA level.

The space group is P4/mmm (No. 123) and the conventional cell measures 5.699, 5.699 and 6.111 Å, with angles of 90.00, 90.00 and 90.00 degrees. The inequivalent atoms are Cs at (0.000, 0.000, 0.000), Cd at (0.000, 0.500, 0.500), In at (0.500, 0.500, 0.500) and Cl at (0.500, 0.500, 0.000).

Its calculated total energy is -9.34 eV/cell. As for the density of states at the Fermi level: 1.963 states/eV/f.u.

***

Below is Cs3Cd2InCl8 after structural relaxation, with properties calculated at the PBE-GGA level.

The space group is P-3m1 (No. 164) and the conventional cell measures 7.9300, 7.9300 and 9.9922 Å, with angles of 90.00, 90.00 and 120.00 degrees. The inequivalent atoms are Cs at (0.0000, 0.0000, 0.0000), Cs at (0.3333, 0.6667, 0.6155), Cd at (0.3333, 0.6667, 0.1897), In at (0.0000, 0.0000, 0.5000), Cl at (0.1698, 0.3396, 0.3045) and Cl at (0.3333, 0.6667, 0.9471).

Its calculated total energy is -42.11 eV/cell. As for the density of states at the Fermi level: 0.000 states/eV/f.u.

***

Below is Cs2Cd2InCl7 after structural relaxation, with properties calculated at the PBE-GGA level.

The space group is I4/mmm (No. 139) and the conventional cell measures 5.304, 5.304 and 27.433 Å, with angles of 90.00, 90.00 and 90.00 degrees. The inequivalent atoms are Cs at (0.000, 0.000, 0.180), Cd at (0.000, 0.000, 0.403), In at (0.000, 0.000, 0.000), Cl at (0.000, 0.000, 0.309), Cl at (0.000, 0.000, 0.500) and Cl at (0.000, 0.500, 0.091).

Its calculated total energy is -70.69 eV/cell. As for the density of states at the Fermi level: 0.000 states/eV/f.u.

***

Below is Cs4KCd3Cl12 after structural relaxation, with properties calculated at the PBE-GGA level.

The space group is Im-3m (No. 229) and the conventional cell measures 10.936, 10.936 and 10.936 Å, with angles of 90.00, 90.00 and 90.00 degrees. The inequivalent atoms are Cs at (0.250, 0.250, 0.250), K at (0.000, 0.000, 0.000), Cd at (0.000, 0.000, 0.500), Cl at (0.000, 0.000, 0.271) and Cl at (0.000, 0.250, 0.500).

Its calculated total energy is -117.49 eV/cell. As for the density of states at the Fermi level: 31.469 states/eV/f.u.

***

Below is Cs2KCdCl after structural relaxation, with properties calculated at the PBE-GGA level.

The space group is P4/mmm (No. 123) and the conventional cell measures 6.812, 6.812 and 6.140 Å, with angles of 90.00, 90.00 and 90.00 degrees. The inequivalent atoms are Cs at (0.000, 0.500, 0.000), K at (0.000, 0.000, 0.500), Cd at (0.500, 0.500, 0.500) and Cl at (0.000, 0.000, 0.000).

Its calculated total energy is -9.05 eV/cell. As for the density of states at the Fermi level: 3.652 states/eV/f.u.

***

Below is Cs3KCd2Cl9 after structural relaxation, with properties calculated at the PBE-GGA level.

The space group is P-3m1 (No. 164) and the conventional cell measures 7.5231, 7.5231 and 10.4036 Å, with angles of 90.00, 90.00 and 120.00 degrees. The inequivalent atoms are Cs at (0.0000, 0.0000, 0.0000), Cs at (0.3333, 0.6667, 0.7145), K at (0.0000, 0.0000, 0.5000), Cd at (0.3333, 0.6667, 0.1558), Cl at (0.0000, 0.5000, 0.0000) and Cl at (0.1694, 0.3387, 0.2965).

Its calculated total energy is -43.98 eV/cell. As for the density of states at the Fermi level: 19.432 states/eV/f.u.

***

Below is Cs2KCd2Cl7 after structural relaxation, with properties calculated at the PBE-GGA level.

The space group is I4/mmm (No. 139) and the conventional cell measures 5.319, 5.319 and 27.399 Å, with angles of 90.00, 90.00 and 90.00 degrees. The inequivalent atoms are Cs at (0.000, 0.000, 0.180), K at (0.000, 0.000, 0.000), Cd at (0.000, 0.000, 0.404), Cl at (0.000, 0.000, 0.309), Cl at (0.000, 0.000, 0.500) and Cl at (0.000, 0.500, 0.091).

Its calculated total energy is -72.23 eV/cell. As for the density of states at the Fermi level: 0.000 states/eV/f.u.